Below is a geometry-optimized OsPbCl2 structure, with properties calculated at the PBE level.

Unit cell a=5.384 b=5.384 c=5.384 alpha=128.72 beta=128.72 gamma=75.46
Positions (direct):
Pb  0.750  0.250  0.500
Os  0.250  0.750  0.500
Cl  0.000  0.000  0.000
Cl  0.500  0.500  0.000

Calculated values
E_form (uncorrected): 0.86 eV/atom
Symmetry: I4/mmm, No. 139
Uncorrected energy: -15.197 eV per cell
DOS at the Fermi energy: 1.98 states/eV/f.u.
Crystal system: tetragonal
E above lowest polymorph: 0.747 eV per atom

---

Below is a geometry-optimized RbNbNi2 structure, with properties calculated at the PBE level.

Unit cell a=4.698 b=4.698 c=4.698 alpha=60.00 beta=60.00 gamma=60.00
Positions (direct):
Ni  0.250  0.250  0.250
Ni  0.750  0.750  0.750
Nb  0.500  0.500  0.500
Rb  0.000  0.000  0.000

Calculated values
Symmetry: Fm-3m, No. 225
Uncorrected energy: -17.664 eV per cell
Formation energy: 1.234 eV per atom
DOS at the Fermi energy: 5.76 states/eV/f.u.
Crystal system: cubic
E above lowest polymorph: 0.152 eV per atom

---

Below is a geometry-optimized Ac5La12Ho2 structure, with properties calculated at the PBE level.

Unit cell a=6.492 b=11.190 c=11.190 alpha=67.03 beta=79.68 gamma=79.68
Positions (direct):
Ac  0.431  0.216  0.216
Ac  0.858  0.327  0.327
Ac  0.500  0.000  0.000
Ac  0.142  0.673  0.673
Ac  0.569  0.784  0.784
La  0.005  0.881  0.881
La  0.194  0.558  0.050
La  0.194  0.050  0.558
La  0.615  0.642  0.157
La  0.615  0.157  0.642
La  0.272  0.449  0.449
La  0.728  0.551  0.551
La  0.385  0.358  0.843
La  0.385  0.843  0.358
La  0.806  0.442  0.950
La  0.806  0.950  0.442
La  0.995  0.119  0.119
Ho  0.000  0.231  0.769
Ho  0.000  0.769  0.231

Calculated values
Symmetry: C2/m, No. 12
Uncorrected energy: -87.097 eV per cell
Formation energy: 0.091 eV per atom
DOS at the Fermi energy: 32.55 states/eV/f.u.
Crystal system: monoclinic

---

Below is a geometry-optimized Cs2RbOsO6 structure, with properties calculated at the PBE level.

Unit cell a=6.645 b=6.645 c=6.645 alpha=59.85 beta=59.85 gamma=59.85
Positions (direct):
Cs  0.248  0.248  0.248
Cs  0.747  0.747  0.747
Rb  0.498  0.498  0.498
Os  0.996  0.996  0.996
O  0.200  0.197  0.807
O  0.197  0.807  0.200
O  0.802  0.205  0.799
O  0.799  0.802  0.205
O  0.807  0.200  0.197
O  0.205  0.799  0.802

Calculated values
E_form (uncorrected): -1.24 eV/atom
Symmetry: R3, No. 146
Uncorrected energy: -56.080 eV per cell
DOS at the Fermi energy: 9.96 states/eV/f.u.
Crystal system: trigonal

---

Below is a geometry-optimized RbAg2As structure, with properties calculated at the PBE level.

Unit cell a=4.727 b=4.727 c=6.726 alpha=69.43 beta=69.43 gamma=60.00
Positions (direct):
As  0.000  0.000  0.000
Rb  0.500  0.500  0.500
Ag  0.313  0.313  0.062
Ag  0.687  0.687  0.938

Calculated values
Symmetry: R-3m, No. 166
Uncorrected energy: -11.708 eV per cell
Formation energy: -0.097 eV per atom
DOS at the Fermi energy: 0.60 states/eV/f.u.
Crystal system: trigonal

---

Below is a geometry-optimized BiTe3Pt structure, with properties calculated at the PBE level.

Unit cell a=5.318 b=5.318 c=5.318 alpha=90.00 beta=90.00 gamma=90.00
Positions (direct):
Te  0.000  0.500  0.000
Te  0.000  0.000  0.500
Te  0.500  0.000  0.000
Bi  0.500  0.500  0.500
Pt  0.000  0.000  0.000

Calculated values
E_form (uncorrected): 0.22 eV/atom
Symmetry: Pm-3m, No. 221
Uncorrected energy: -18.272 eV per cell
DOS at the Fermi energy: 4.25 states/eV/f.u.
Crystal system: cubic
E above lowest polymorph: 0.000 eV per atom

---

Below is a geometry-optimized Ac2CeZn9 structure, with properties calculated at the PBE level.

Unit cell a=5.655 b=5.655 c=9.552 alpha=72.78 beta=72.78 gamma=60.00
Positions (direct):
Ac  0.860  0.860  0.421
Ac  0.140  0.140  0.579
Ce  0.000  0.000  0.000
Zn  0.665  0.665  0.004
Zn  0.335  0.335  0.996
Zn  0.500  0.500  0.500
Zn  0.421  0.421  0.233
Zn  0.925  0.421  0.233
Zn  0.421  0.925  0.233
Zn  0.579  0.579  0.767
Zn  0.579  0.075  0.767
Zn  0.075  0.579  0.767

Calculated values
Symmetry: R-3m, No. 166
Uncorrected energy: -28.128 eV per cell
Formation energy: -0.209 eV per atom
DOS at the Fermi energy: 10.32 states/eV/f.u.
Crystal system: trigonal

---

Below is a geometry-optimized ZnIr2Pb structure, with properties calculated at the PBE level.

Unit cell a=4.248 b=4.248 c=3.684 alpha=90.00 beta=90.00 gamma=90.00
Positions (direct):
Ir  0.000  0.000  0.000
Ir  0.500  0.500  0.000
Pb  0.500  0.000  0.500
Zn  0.000  0.500  0.500

Calculated values
Symmetry: P4/mmm, No. 123
Uncorrected energy: -21.714 eV per cell
Formation energy: 0.248 eV per atom
DOS at the Fermi energy: 1.37 states/eV/f.u.
Crystal system: tetragonal
E above lowest polymorph: 0.032 eV per atom

---

Q: The lowest uncorrected energy belongs to which entry?
A: Ac5La12Ho2

---

Q: Which formula does entry 3 have?
A: Ac5La12Ho2

---

Q: Which value of uncorrected energy does entry 5 give?
A: -11.708 eV per cell

---

Q: Which formula does entry 5 have?
A: RbAg2As